! KNaMg2Ni, optimized geometry, DFT PBE; values from VASP
&SYSTEM
  ibrav = 0, nat = 5, ntyp = 4
/
ATOMIC_SPECIES
K 39.10 K.upf
Mg 24.30 Mg.upf
Ni 58.69 Ni.upf
Na 22.99 Na.upf
CELL_PARAMETERS angstrom
-4.096 -2.248 1.871
3.342 -2.713 4.055
-0.683 3.866 3.149
ATOMIC_POSITIONS angstrom
K 1.671 -1.357 2.028
Mg -2.048 -1.124 0.936
Mg -0.341 1.933 1.575
Ni 0.000 0.000 0.000
Na -0.718 -0.548 4.538
! DFT formation energy (eV/atom): 0.25
! D(E_F) (states/eV per cell): 2.8

=====

! Tb2Cd3Sn, optimized geometry, DFT PBE; values from VASP
&SYSTEM
  ibrav = 0, nat = 12, ntyp = 3
/
ATOMIC_SPECIES
Cd 112.41 Cd.upf
Sn 118.71 Sn.upf
Tb 158.93 Tb.upf
CELL_PARAMETERS angstrom
-1.307 -3.966 -4.435
3.718 1.056 -4.709
4.458 -4.034 7.813
ATOMIC_POSITIONS angstrom
Cd 5.008 -5.141 -2.397
Cd 4.125 -3.854 5.015
Cd 5.341 -5.322 0.401
Cd 1.861 -1.804 1.065
Cd 1.528 -1.623 -1.733
Cd 2.744 -3.091 -6.347
Sn 3.084 -3.277 -3.497
Sn 3.785 -3.668 2.165
Tb 2.178 -4.728 -0.597
Tb 4.691 -2.217 -0.734
Tb -0.061 -2.721 -4.503
Tb 2.472 -0.190 -4.641
! DFT formation energy (eV/atom): -0.42
! D(E_F) (states/eV per cell): 8.6

=====

! LiZr2CdN, optimized geometry, DFT PBE; values from VASP
&SYSTEM
  ibrav = 0, nat = 5, ntyp = 4
/
ATOMIC_SPECIES
Cd 112.41 Cd.upf
Zr 91.22 Zr.upf
Li 6.94 Li.upf
N 14.01 N.upf
CELL_PARAMETERS angstrom
4.485 0.000 0.000
0.000 4.485 0.000
0.000 0.000 4.223
ATOMIC_POSITIONS angstrom
Cd 2.242 2.242 2.112
Zr 2.242 0.000 0.000
Zr 0.000 2.242 0.000
Li 0.000 0.000 2.112
N 0.000 0.000 0.000
! D(E_F) (states/eV per cell): 3.6
! Energy relative to the elements, uncorrected (eV/atom): -0.64

=====

! NdDy9Sc2, optimized geometry, DFT PBE; values from VASP
&SYSTEM
  ibrav = 0, nat = 12, ntyp = 3
/
ATOMIC_SPECIES
Dy 162.50 Dy.upf
Sc 44.96 Sc.upf
Nd 144.24 Nd.upf
CELL_PARAMETERS angstrom
-3.440 -0.459 -0.212
1.594 -10.481 -3.188
-0.986 2.425 10.756
ATOMIC_POSITIONS angstrom
Dy 0.304 -4.028 3.784
Dy 0.797 -5.240 -1.594
Dy -2.240 -0.134 8.134
Dy -1.044 -7.269 4.155
Dy -0.592 -8.381 -0.777
Dy -1.788 -1.246 3.201
Dy -0.493 1.212 5.378
Dy -1.509 -4.940 6.672
Dy -1.323 -3.575 0.685
Sc -0.126 -1.877 6.108
Sc 0.734 -6.179 1.460
Nd 0.000 0.000 0.000
! DFT formation energy (eV/atom): 0.03
! D(E_F) (states/eV per cell): 15.4
! E above lowest polymorph (kJ/mol of formula units): 0

=====

! Pa4TeOsSe2, optimized geometry, DFT PBE; values from VASP
&SYSTEM
  ibrav = 0, nat = 8, ntyp = 4
/
ATOMIC_SPECIES
Se 78.96 Se.upf
Pa 231.04 Pa.upf
Te 127.60 Te.upf
Os 190.23 Os.upf
CELL_PARAMETERS angstrom
3.989 0.000 0.000
0.000 7.410 0.263
0.000 -2.456 6.759
ATOMIC_POSITIONS angstrom
Se 0.000 2.477 3.511
Se 1.994 -1.228 3.380
Pa 1.994 3.535 5.208
Pa 0.000 4.730 1.761
Pa 1.994 1.420 1.814
Pa 0.000 0.225 5.261
Te 0.000 0.000 0.000
Os 1.994 3.705 0.131
! D(E_F) (states/eV per cell): 13.2
! Energy relative to the elements, uncorrected (eV/atom): -0.84

=====

! LiCdGa3, optimized geometry, DFT PBE; values from VASP
&SYSTEM
  ibrav = 0, nat = 5, ntyp = 3
/
ATOMIC_SPECIES
Ga 69.72 Ga.upf
Cd 112.41 Cd.upf
Li 6.94 Li.upf
CELL_PARAMETERS angstrom
-2.331 -1.945 3.612
3.675 -2.837 0.844
1.824 3.230 2.916
ATOMIC_POSITIONS angstrom
Ga -1.166 -0.972 1.806
Ga 0.912 1.615 1.458
Ga 1.837 -1.419 0.422
Cd 1.584 -0.776 3.686
Li 0.000 0.000 0.000
! DFT formation energy (eV/atom): 0.22
! D(E_F) (states/eV per cell): 2.0
! E above lowest polymorph (kJ/mol of formula units): 155

=====

Density
In order: 1.9; 8.6; 6.2; 7.6; 11.5; 5.2
Unit: g cm⁻³
Uncorrected energy
In order: -2.032; -3.087; -6.290; -4.871; -8.251; -2.165
Unit: eV per atom